A plane-wave DFT calculation with PBE+U was carried out for a relaxed Ba4NaMn2O9 crystal. Values from VASP.

Structure (Quantum ESPRESSO input):
```
&SYSTEM
  ibrav = 0, nat = 48, ntyp = 4
/
ATOMIC_SPECIES
Ba 137.33 Ba.upf
Na 22.99 Na.upf
Mn 54.94 Mn.upf
O 16.00 O.upf
CELL_PARAMETERS angstrom
10.163 0.000 0.000
-5.081 8.801 0.000
0.000 0.000 8.406
ATOMIC_POSITIONS crystal
Ba 0.000 0.327 0.000
Ba 0.000 0.353 0.500
Ba 0.022 0.687 0.245
Ba 0.313 0.335 0.245
Ba 0.327 0.000 0.000
Ba 0.335 0.313 0.755
Ba 0.353 0.000 0.500
Ba 0.647 0.647 0.500
Ba 0.665 0.978 0.245
Ba 0.673 0.673 0.000
Ba 0.687 0.022 0.755
Ba 0.978 0.665 0.755
Na 0.000 0.000 0.500
Na 0.333 0.667 0.747
Na 0.667 0.333 0.253
Mn 0.000 0.000 0.160
Mn 0.000 0.000 0.840
Mn 0.333 0.667 0.087
Mn 0.333 0.667 0.407
Mn 0.667 0.333 0.593
Mn 0.667 0.333 0.913
O 0.000 0.855 0.000
O 0.009 0.164 0.719
O 0.145 0.145 0.000
O 0.155 0.991 0.719
O 0.164 0.009 0.281
O 0.180 0.524 0.247
O 0.181 0.672 0.964
O 0.182 0.679 0.530
O 0.321 0.503 0.530
O 0.328 0.509 0.964
O 0.344 0.820 0.247
O 0.476 0.656 0.247
O 0.491 0.819 0.964
O 0.497 0.818 0.530
O 0.503 0.321 0.470
O 0.509 0.328 0.036
O 0.524 0.180 0.753
O 0.656 0.476 0.753
O 0.672 0.181 0.036
O 0.679 0.182 0.470
O 0.818 0.497 0.470
O 0.819 0.491 0.036
O 0.820 0.344 0.753
O 0.836 0.845 0.719
O 0.845 0.836 0.281
O 0.855 0.000 0.000
O 0.991 0.155 0.281
```

Summary:
**Space group**: P321, No. 150
**Electronic total energy**: -6.3652 eV per atom
**M_tot**: 4.87 μB/f.u.
**Density**: 5.47 g/cm3